## i
The following is a PBEsol calculation of a relaxed structure of SbTeOs, from Alexandria via LeMat-Bulk.

Calculated values
The value obtained for the mass density is 11.174 g/cm3. For the density of states at the Fermi level, the calculation gives 8.42 states/eV per cell.

Lattice parameters (Å, degrees): 3.1142 5.3793 15.5988 90.00 90.00 90.00
Closest atoms and distances in Å follow each position.
Positions (direct):
Sb 0.0000 0.0000 0.0000  2 Os 2.71
Sb 0.0000 0.5000 0.5000  2 Os 2.71
Sb 0.5000 0.0000 0.5000  2 Os 2.71
Sb 0.5000 0.5000 0.0000  2 Os 2.71
Te 0.0000 0.0000 0.7187  2 Os 2.67
Te 0.0000 0.5000 0.2187  2 Os 2.67
Te 0.5000 0.0000 0.2187  2 Os 2.67
Te 0.5000 0.5000 0.7187  2 Os 2.67
Os 0.0000 0.0000 0.3575  2 Te 2.67, 2 Sb 2.71
Os 0.0000 0.5000 0.8575  2 Te 2.67, 2 Sb 2.71
Os 0.5000 0.0000 0.8575  2 Te 2.67, 2 Sb 2.71
Os 0.5000 0.5000 0.3575  2 Te 2.67, 2 Sb 2.71

## ii
The following is a PBEsol calculation of a relaxed structure of SbTeOs, from Alexandria via LeMat-Bulk.

Calculated values
The value obtained for the mass density is 11.056 g/cm3.

Lattice parameters (Å, degrees): 6.6197 6.5250 6.6931 90.00 114.00 90.00
Closest atoms and distances in Å follow each position.
Positions (direct):
Sb 0.1398 0.1409 0.3860  3 Os 2.66-2.69, 1 Te 2.90
Sb 0.1398 0.3591 0.8860  3 Os 2.66-2.69, 1 Te 2.90
Sb 0.8602 0.6409 0.1140  3 Os 2.66-2.69, 1 Te 2.90
Sb 0.8602 0.8591 0.6140  3 Os 2.66-2.69, 1 Te 2.90
Te 0.3464 0.6350 0.6843  3 Os 2.60, 1 Sb 2.90
Te 0.3464 0.8650 0.1843  3 Os 2.60, 1 Sb 2.90
Te 0.6536 0.1350 0.8157  3 Os 2.60, 1 Sb 2.90
Te 0.6536 0.3650 0.3157  3 Os 2.60, 1 Sb 2.90
Os 0.2768 0.0011 0.7966  3 Te 2.60, 3 Sb 2.66-2.69
Os 0.2768 0.4989 0.2966  3 Te 2.60, 3 Sb 2.66-2.69
Os 0.7232 0.5011 0.7034  3 Te 2.60, 3 Sb 2.66-2.69
Os 0.7232 0.9989 0.2034  3 Te 2.60, 3 Sb 2.66-2.69

It is ii that is most stable; the runner-up trails by 742 meV per atom.